VASP calculation (PBE) on a relaxed K2SrMg2 crystal.

Output
Excess energy over the best structure of this formula in the dataset (meV/atom): 0
Crystal system: tetragonal
Space-group type: P4/mbm
M_tot (μB per atom): 0.00

POSCAR file:
```
K2SrMg2
1.0
9.2356 0.0000 0.0000
0.0000 9.2356 0.0000
0.0000 0.0000 5.5833
K Sr Mg
4 2 4
Direct
0.1714 0.3286 0.0000
0.3286 0.8286 0.0000
0.6714 0.1714 0.0000
0.8286 0.6714 0.0000
0.0000 0.0000 0.5000
0.5000 0.5000 0.5000
0.1208 0.6208 0.5000
0.3792 0.1208 0.5000
0.6208 0.8792 0.5000
0.8792 0.3792 0.5000
```